[1]
Crystalline Sm8TcAu2 at its relaxed geometry. Source: Alexandria, functional PBE.

Summary:
The space-group type is Cm, No. 8. The calculation puts the final energy at -5.1584 eV per atom. As for the energy of formation from the pure elements: -188.0 meV per atom.

Unit cell a=5.8923 b=8.2002 c=8.2002 alpha=118.31 beta=101.78 gamma=101.78
Closest atoms and distances in Å follow each position.
Element x y z (fractional)
Sm 0.5951 0.3315 0.1001  2 Au 2.98-3.04, 2 Sm 3.26-3.30, 1 Tc 3.26
Sm 0.5951 0.1001 0.3315  2 Au 2.98-3.04, 2 Sm 3.26-3.30, 1 Tc 3.26
Sm 0.1874 0.3674 0.3674  1 Tc 2.84
Sm 0.9929 0.1996 0.7965  1 Tc 2.88
Sm 0.9929 0.7965 0.1996  1 Tc 2.88
Sm 0.8065 0.6424 0.6424  1 Tc 2.84
Sm 0.3752 0.9050 0.6708  2 Au 2.98-3.06, 2 Sm 3.30
Sm 0.3752 0.6708 0.9050  2 Au 2.98-3.06, 2 Sm 3.30
Tc 0.0827 0.0066 0.0066  4 Sm 2.84-2.88
Au 0.4983 0.7086 0.3054  8 Sm 2.98-3.33
Au 0.4983 0.3054 0.7086  8 Sm 2.98-3.33


[2]
Crystalline ZrAl2PdRu at its relaxed geometry. Source: Alexandria, functional PBE.

Summary:
The space-group type is P4/mmm, No. 123. The calculation puts the final energy at -4.6387 eV per atom. As for the energy of formation from the pure elements: 1461.7 meV per atom.

Unit cell a=5.0725 b=4.7745 c=5.0725 alpha=90.00 beta=90.00 gamma=90.00
Closest atoms and distances in Å follow each position.
Element x y z (fractional)
Ru 0.5000 0.5000 0.5000  8 Al 3.48, 4 Pd 3.59
Zr 0.0000 0.0000 0.0000  2 Pd 2.39, 4 Al 2.54
Pd 0.0000 0.5000 0.0000  2 Zr 2.39
Al 0.0000 0.0000 0.5000  2 Zr 2.54
Al 0.5000 0.0000 0.0000  2 Zr 2.54


[3]
Crystalline LaTb5Hg2 at its relaxed geometry. Source: Alexandria, functional PBE.

Summary:
The space-group type is Immm, No. 71. The calculation puts the final energy at -3.7629 eV per atom. As for the energy of formation from the pure elements: -177.6 meV per atom.

Unit cell a=3.7597 b=8.3128 c=8.3128 alpha=76.50 beta=76.93 gamma=76.93
Closest atoms and distances in Å follow each position.
Element x y z (fractional)
La 0.0000 0.0000 0.0000  4 Hg 3.54, 2 La 3.76, 8 Tb 3.83
Tb 0.0000 0.5000 0.5000  2 Hg 3.25, 8 Tb 3.43
Tb 0.6381 0.5841 0.1397  3 Hg 3.13-3.33, 5 Tb 3.42-3.45
Tb 0.3619 0.4159 0.8603  3 Hg 3.13-3.33, 5 Tb 3.42-3.45
Tb 0.3619 0.8603 0.4159  3 Hg 3.13-3.33, 5 Tb 3.42-3.45
Tb 0.6381 0.1397 0.5841  3 Hg 3.13-3.33, 5 Tb 3.42-3.45
Hg 0.7397 0.7603 0.7603  7 Tb 3.13-3.33
Hg 0.2603 0.2397 0.2397  7 Tb 3.13-3.33


[4]
Crystalline SrLaCl2 at its relaxed geometry. Source: Alexandria, functional PBE.

Summary:
The space-group type is R-3m, No. 166. The calculation puts the final energy at -4.1058 eV per atom. As for the formation energy from raw total energies: -1.530 eV per atom. The value obtained for the distance to the lowest polymorph of the same formula is 50 meV/atom.

Unit cell a=8.8897 b=8.8897 c=8.8897 alpha=24.87 beta=24.87 gamma=24.87
Closest atoms and distances in Å follow each position.
Element x y z (fractional)
Sr 0.7500 0.7500 0.7500  6 Cl 3.12
Cl 0.9983 0.9983 0.9983  3 La 3.05, 3 Sr 3.12
Cl 0.5017 0.5017 0.5017  3 La 3.05, 3 Sr 3.12
La 0.2500 0.2500 0.2500  6 Cl 3.05